Compound: TlAg2W
Source: Alexandria via LeMat-Bulk
Functional: meta-GGA SCAN
Structure: PBEsol geometry

a b c (Å): 5.6619 9.0401 2.7802
angles (deg): 90.00 90.00 90.00
With the nearest neighbours (Å) after each atom.
Space group Cmmm (No. 65)
Unique sites:
Tl: 0.0000 0.0000 0.0000 [2 per cell]  2 Tl 2.78, 2 W 2.83, 8 Ag 3.01
Ag: 0.2500 0.2500 0.5000 [4 per cell]  4 Ag 2.78-2.83, 4 Tl 3.01, 4 W 3.01
W: 0.0000 0.5000 0.0000 [2 per cell]  2 W 2.78, 2 Tl 2.83, 8 Ag 3.01

## Properties
- Polymorph energy (0 for the lowest one): 0.000 eV per atom

=====

Compound: Na2Si2Pd
Source: Alexandria via LeMat-Bulk
Functional: meta-GGA SCAN
Structure: PBEsol geometry

a b c (Å): 6.2111 6.2111 4.9107
angles (deg): 90.00 90.00 90.00
With the nearest neighbours (Å) after each atom.
Space group P4/mbm (No. 127)
Unique sites:
Na: 0.1804 0.3196 0.0000 [4 per cell]  6 Si 2.96-3.15, 5 Na 3.17-3.22
Si: 0.1323 0.6323 0.5000 [4 per cell]  1 Si 2.32, 2 Pd 2.43
Pd: 0.0000 0.0000 0.5000 [2 per cell]  4 Si 2.43

## Properties
- E_form (uncorrected): -0.230 eV per atom

=====

Compound: Zr2ScSi2
Source: Alexandria via LeMat-Bulk
Functional: meta-GGA SCAN
Structure: PBEsol geometry

a b c (Å): 7.0326 7.0326 3.6821
angles (deg): 90.00 90.00 90.00
With the nearest neighbours (Å) after each atom.
Space group P4/mbm (No. 127)
Unique sites:
Zr: 0.1719 0.3281 0.0000 [4 per cell]  6 Si 2.75-2.79
Sc: 0.0000 0.0000 0.5000 [2 per cell]  4 Si 2.79
Si: 0.1231 0.6231 0.5000 [4 per cell]  1 Si 2.45

## Properties
- E_form (uncorrected): -0.853 eV per atom

=====

Compound: As2Se
Source: Alexandria via LeMat-Bulk
Functional: meta-GGA SCAN
Structure: PBEsol geometry

a b c (Å): 7.7530 7.7530 7.7530
angles (deg): 90.00 90.00 90.00
With the nearest neighbours (Å) after each atom.
Space group Fd-3m (No. 227, origin choice 2)
Unique sites:
As: 0.0000 0.0000 0.0000 [16 per cell]  6 As 2.74
Se: 0.1250 0.1250 0.6250 [8 per cell]  12 As 3.21, 4 Se 3.36

## Properties
- Polymorph energy (0 for the lowest one): 0.581 eV per atom
- E_form (uncorrected): 0.667 eV per atom

=====

Compound: Ca3MgGe
Source: Alexandria via LeMat-Bulk
Functional: meta-GGA SCAN
Structure: PBEsol geometry

a b c (Å): 5.6572 5.6572 5.6572
angles (deg): 90.00 90.00 90.00
With the nearest neighbours (Å) after each atom.
Space group Pm-3m (No. 221)
Unique sites:
Ca: 0.0000 0.0000 0.5000 [3 per cell]  2 Ge 2.83
Mg: 0.5000 0.5000 0.5000 [1 per cell]  12 Ca 4.00
Ge: 0.0000 0.0000 0.0000 [1 per cell]  6 Ca 2.83

## Properties
- Electronic total energy: -10.792 eV per atom

=====

Compound: Ta2Pd2W
Source: Alexandria via LeMat-Bulk
Functional: meta-GGA SCAN
Structure: PBEsol geometry

a b c (Å): 3.5102 3.5102 13.9233
angles (deg): 90.00 90.00 90.00
With the nearest neighbours (Å) after each atom.
Space group I4/mmm (No. 139)
Unique sites:
Ta: 0.0000 0.0000 0.0994 [4 per cell]  4 Pd 2.73, 1 Ta 2.77, 4 W 2.84
Pd: 0.0000 0.5000 0.2500 [4 per cell]  4 Pd 2.48, 4 Ta 2.73
W: 0.0000 0.0000 0.5000 [2 per cell]  8 Ta 2.84

## Properties
- Electronic total energy: -53.383 eV per atom

=====

Compound: KMn2Zn
Source: Alexandria via LeMat-Bulk
Functional: meta-GGA SCAN
Structure: PBEsol geometry

a b c (Å): 2.8300 5.3295 10.4135
angles (deg): 90.00 90.00 90.00
With the nearest neighbours (Å) after each atom.
Space group Immm (No. 71)
Unique sites:
K: 0.0000 0.0000 0.0000 [2 per cell]  2 K 2.83, 4 Zn 3.02
Mn: 0.0000 0.5000 0.2085 [4 per cell]  2 Zn 2.59, 2 Mn 2.83
Zn: 0.0000 0.0000 0.5000 [2 per cell]  4 Mn 2.59, 2 Zn 2.83

## Properties
- Electronic total energy: -14.163 eV per atom

=====

Compound: Rb3FePb
Source: Alexandria via LeMat-Bulk
Functional: meta-GGA SCAN
Structure: PBEsol geometry

a b c (Å): 6.9355 6.9355 6.9355
angles (deg): 90.00 90.00 90.00
With the nearest neighbours (Å) after each atom.
Space group Pm-3m (No. 221)
Unique sites:
Rb: 0.0000 0.0000 0.5000 [3 per cell]  2 Pb 3.47
Fe: 0.5000 0.5000 0.5000 [1 per cell]  12 Rb 4.90
Pb: 0.0000 0.0000 0.0000 [1 per cell]  6 Rb 3.47

## Properties
- Electronic total energy: -30.416 eV per atom

=====

Compound: MgCd2Cu
Source: Alexandria via LeMat-Bulk
Functional: meta-GGA SCAN
Structure: PBEsol geometry

a b c (Å): 3.3604 4.6111 9.2023
angles (deg): 90.00 90.00 90.00
With the nearest neighbours (Å) after each atom.
Space group Immm (No. 71)
Unique sites:
Mg: 0.0000 0.0000 0.0000 [2 per cell]  4 Cu 2.85, 8 Cd 3.04-3.10
Cd: 0.0000 0.5000 0.2245 [4 per cell]  2 Cu 2.66, 4 Cd 2.89
Cu: 0.0000 0.0000 0.5000 [2 per cell]  4 Cd 2.66, 4 Mg 2.85

## Properties
- Electronic total energy: -20.283 eV per atom

=====

Compound: K2CaCI
Source: Alexandria via LeMat-Bulk
Functional: meta-GGA SCAN
Structure: PBEsol geometry

a b c (Å): 5.8848 5.8848 4.6346
angles (deg): 90.00 90.00 90.00
With the nearest neighbours (Å) after each atom.
Space group P4/mmm (No. 123)
Unique sites:
K: 0.0000 0.5000 0.0000 [2 per cell]  2 C 2.94
Ca: 0.0000 0.0000 0.5000 [1 per cell]  2 C 2.32
C: 0.0000 0.0000 0.0000 [1 per cell]  2 Ca 2.32
I: 0.5000 0.5000 0.5000 [1 per cell]  8 K 3.75, 4 Ca 4.16

## Properties
- E_form (uncorrected): 0.052 eV per atom

=====

Compound: Sr2SiPt
Source: Alexandria via LeMat-Bulk
Functional: meta-GGA SCAN
Structure: PBEsol geometry

a b c (Å): 3.5191 3.5191 8.0453
angles (deg): 90.00 90.00 90.00
With the nearest neighbours (Å) after each atom.
Space group P4/mmm (No. 123)
Unique sites:
Sr: 0.0000 0.0000 0.2324 [2 per cell]  4 Pt 3.11, 4 Si 3.29
Si: 0.5000 0.5000 0.5000 [1 per cell]  8 Sr 3.29, 4 Si 3.52
Pt: 0.5000 0.5000 0.0000 [1 per cell]  8 Sr 3.11

## Properties
- E_form (uncorrected): -0.466 eV per atom

=====

Compound: Zr5Al4
Source: Alexandria via LeMat-Bulk
Functional: meta-GGA SCAN
Structure: PBEsol geometry

a b c (Å): 8.3731 8.3731 5.7182
angles (deg): 90.00 90.00 120.00
With the nearest neighbours (Å) after each atom.
Space group P6_3/mcm (No. 193)
Unique sites:
Zr: 0.0000 0.2930 0.2500 [6 per cell]  7 Al 2.82-2.93
Zr: 0.3333 0.6667 0.0000 [4 per cell]  2 Zr 2.86, 6 Al 3.02
Al: 0.0000 0.0000 0.0000 [2 per cell]  6 Zr 2.84, 2 Al 2.86
Al: 0.0000 0.3679 0.7500 [6 per cell]  9 Zr 2.82-3.02

## Properties
- Electronic total energy: -20.946 eV per atom

=====

Compound: LiAlC
Source: Alexandria via LeMat-Bulk
Functional: meta-GGA SCAN
Structure: PBEsol geometry

a b c (Å): 6.9252 3.4541 5.0041
angles (deg): 90.00 90.00 90.00
With the nearest neighbours (Å) after each atom.
Space group Pnma (No. 62)
Unique sites:
Li: 0.0989 0.2500 0.0452 [4 per cell]  4 C 2.17-2.37, 2 Li 2.25
Al: 0.1426 0.2500 0.5393 [4 per cell]  4 C 2.04-2.09
C: 0.1330 0.7500 0.3031 [4 per cell]  4 Al 2.04-2.09, 3 Li 2.17-2.22

## Properties
- Electronic total energy: -6.989 eV per atom

=====

Compound: MgMnRu2
Source: Alexandria via LeMat-Bulk
Functional: meta-GGA SCAN
Structure: PBEsol geometry

a b c (Å): 2.9380 2.9380 6.3069
angles (deg): 90.00 90.00 90.00
With the nearest neighbours (Å) after each atom.
Space group P4/mmm (No. 123)
Unique sites:
Mg: 0.0000 0.0000 0.0000 [1 per cell]  8 Ru 2.72, 4 Mg 2.94
Mn: 0.0000 0.0000 0.5000 [1 per cell]  8 Ru 2.51
Ru: 0.5000 0.5000 0.2781 [2 per cell]  4 Mn 2.51, 4 Mg 2.72, 1 Ru 2.80

## Properties
- Electronic total energy: -23.319 eV per atom

=====

Compound: HSCl2F
Source: Alexandria via LeMat-Bulk
Functional: meta-GGA SCAN
Structure: PBEsol geometry

a b c (Å): 4.6058 4.6058 3.2124
angles (deg): 90.00 90.00 90.00
With the nearest neighbours (Å) after each atom.
Space group P4/mmm (No. 123)
Unique sites:
H: 0.0000 0.0000 0.0000 [1 per cell]  2 S 1.61
S: 0.0000 0.0000 0.5000 [1 per cell]  2 H 1.61
Cl: 0.0000 0.5000 0.0000 [2 per cell]  2 H 2.30
F: 0.5000 0.5000 0.5000 [1 per cell]  8 Cl 2.81

## Properties
- Electronic total energy: -5.859 eV per atom

=====

Compound: TlIn2Rh
Source: Alexandria via LeMat-Bulk
Functional: meta-GGA SCAN
Structure: PBEsol geometry

a b c (Å): 3.1287 3.1287 8.7352
angles (deg): 90.00 90.00 90.00
With the nearest neighbours (Å) after each atom.
Space group P4/mmm (No. 123)
Unique sites:
Tl: 0.0000 0.0000 0.0000 [1 per cell]  4 Tl 3.13, 8 In 3.48
In: 0.5000 0.5000 0.3074 [2 per cell]  4 Rh 2.78
Rh: 0.0000 0.0000 0.5000 [1 per cell]  8 In 2.78

## Properties
- Polymorph energy (0 for the lowest one): 0.000 eV per atom

=====

Compound: Sm2GaCo2
Source: Alexandria via LeMat-Bulk
Functional: meta-GGA SCAN
Structure: PBEsol geometry

a b c (Å): 4.0326 5.3665 8.4094
angles (deg): 90.00 90.00 90.00
With the nearest neighbours (Å) after each atom.
Space group Immm (No. 71)
Unique sites:
Sm: 0.0000 0.0000 0.2054 [4 per cell]  6 Co 2.90-2.91, 4 Ga 3.19
Ga: 0.0000 0.5000 0.0000 [2 per cell]  4 Co 2.53
Co: 0.0000 0.2833 0.5000 [4 per cell]  1 Co 2.33, 2 Ga 2.53

## Properties
- Electronic total energy: -28.247 eV per atom

=====

Compound: InTc2Ge
Source: Alexandria via LeMat-Bulk
Functional: meta-GGA SCAN
Structure: PBEsol geometry

a b c (Å): 6.2427 6.2427 6.2427
angles (deg): 90.00 90.00 90.00
With the nearest neighbours (Å) after each atom.
Space group Fm-3m (No. 225)
Unique sites:
In: 0.0000 0.0000 0.0000 [4 per cell]  8 Tc 2.70
Tc: 0.2500 0.2500 0.2500 [8 per cell]  4 Ge 2.70, 4 In 2.70
Ge: 0.0000 0.0000 0.5000 [4 per cell]  8 Tc 2.70

## Properties
- Electronic total energy: -30.363 eV per atom

=====

Compound: Li2AlTc
Source: Alexandria via LeMat-Bulk
Functional: meta-GGA SCAN
Structure: PBEsol geometry

a b c (Å): 2.6638 2.6638 28.2627
angles (deg): 90.00 90.00 120.00
With the nearest neighbours (Å) after each atom.
Space group R-3m (No. 166, hexagonal axes)
Unique sites:
Li: 0.0000 0.0000 0.2471 [6 per cell]  6 Li 2.66, 3 Tc 2.75, 3 Al 2.88
Al: 0.0000 0.0000 0.0000 [3 per cell]  6 Al 2.66, 6 Li 2.88
Tc: 0.0000 0.0000 0.5000 [3 per cell]  6 Tc 2.66, 6 Li 2.75

## Properties
- Electronic total energy: -11.792 eV per atom

=====

Compound: LiFeNi2
Source: Alexandria via LeMat-Bulk
Functional: meta-GGA SCAN
Structure: PBEsol geometry

a b c (Å): 4.0946 4.0946 2.5384
angles (deg): 90.00 90.00 90.00
With the nearest neighbours (Å) after each atom.
Space group P4/mmm (No. 123)
Unique sites:
Li: 0.0000 0.0000 0.0000 [1 per cell]  8 Ni 2.41, 2 Li 2.54
Fe: 0.5000 0.5000 0.0000 [1 per cell]  8 Ni 2.41, 2 Fe 2.54
Ni: 0.0000 0.5000 0.5000 [2 per cell]  4 Fe 2.41, 4 Li 2.41, 2 Ni 2.54

## Properties
- Electronic total energy: -13.249 eV per atom

=====

Compound: LiNiTe2
Source: Alexandria via LeMat-Bulk
Functional: meta-GGA SCAN
Structure: PBEsol geometry

a b c (Å): 3.7834 5.9044 7.6362
angles (deg): 90.00 90.00 90.00
With the nearest neighbours (Å) after each atom.
Space group Cmmm (No. 65)
Unique sites:
Li: 0.0000 0.0000 0.0000 [2 per cell]  4 Te 2.87
Ni: 0.0000 0.0000 0.5000 [2 per cell]  4 Te 2.52
Te: 0.0000 0.5000 0.2820 [4 per cell]  2 Ni 2.52

## Properties
- E_form (uncorrected): -0.147 eV per atom

=====

Compound: Sr3CaAl8H24C8O44
Source: Alexandria via LeMat-Bulk
Functional: meta-GGA SCAN
Structure: PBEsol geometry

a b c (Å): 8.8933 5.6133 15.9279
angles (deg): 90.00 90.19 90.00
With the nearest neighbours (Å) after each atom.
Space group Pm (No. 6)
Unique sites:
Sr: 0.0000 0.0000 0.0000 [1 per cell]  7 O 2.50-2.72
Sr: 0.0499 0.5000 0.1730 [1 per cell]  7 O 2.51-2.70
Sr: 0.5020 0.5000 0.6700 [1 per cell]  5 O 2.40-2.54
Ca: 0.5498 0.0000 0.4983 [1 per cell]  5 O 2.31-2.46
Al: 0.1909 0.2483 0.7856 [2 per cell]  6 O 1.84-1.95
Al: 0.3587 0.2480 0.2919 [2 per cell]  6 O 1.84-1.94
Al: 0.6929 0.2518 0.8803 [2 per cell]  6 O 1.83-1.93
Al: 0.8564 0.2513 0.3863 [2 per cell]  6 O 1.83-1.94
H: 0.0020 0.0000 0.7099 [1 per cell]  1 O 1.02
H: 0.0034 0.0000 0.4851 [1 per cell]  1 O 0.98
H: 0.0352 0.5000 0.6881 [1 per cell]  1 O 0.98
H: 0.0476 0.5000 0.4617 [1 per cell]  1 O 1.02
H: 0.1388 0.5000 0.3462 [1 per cell]  1 O 1.02
H: 0.1571 0.0000 0.3697 [1 per cell]  1 O 0.99
H: 0.1692 0.3621 0.5776 [2 per cell]  1 O 0.99
H: 0.3603 0.3589 0.0552 [2 per cell]  1 O 0.99
H: 0.3950 0.0000 0.8618 [1 per cell]  1 O 1.00
H: 0.4119 0.5000 0.8392 [1 per cell]  1 O 1.03
H: 0.4982 0.5000 0.9530 [1 per cell]  1 O 1.02
H: 0.5025 0.5000 0.1922 [1 per cell]  1 O 0.98
H: 0.5450 0.0000 0.9781 [1 per cell]  1 O 0.98
H: 0.5520 0.0000 0.2175 [1 per cell]  1 O 1.02
H: 0.6349 0.0000 0.3333 [1 per cell]  1 O 1.03
H: 0.6552 0.5000 0.3082 [1 per cell]  1 O 1.00
H: 0.6877 0.1410 0.1148 [2 per cell]  1 O 0.99
H: 0.8774 0.1388 0.6003 [2 per cell]  1 O 0.99
H: 0.8951 0.5000 0.8037 [1 per cell]  1 O 1.00
H: 0.9121 0.0000 0.8269 [1 per cell]  1 O 1.02
C: 0.1024 0.5000 0.9373 [1 per cell]  3 O 1.28-1.30
C: 0.2780 0.0000 0.6305 [1 per cell]  3 O 1.26-1.31
C: 0.2806 0.0000 0.1374 [1 per cell]  3 O 1.27-1.31
C: 0.4546 0.5000 0.4418 [1 per cell]  3 O 1.27-1.30
C: 0.6071 0.0000 0.7277 [1 per cell]  3 O 1.28-1.30
C: 0.7684 0.5000 0.0353 [1 per cell]  3 O 1.27-1.31
C: 0.7804 0.5000 0.5409 [1 per cell]  3 O 1.26-1.31
C: 0.9462 0.0000 0.2349 [1 per cell]  3 O 1.28-1.30
O: 0.0494 0.0000 0.7681 [1 per cell]  1 H 1.02
O: 0.0615 0.5000 0.7482 [1 per cell]  1 H 0.98
O: 0.0692 0.5000 0.0157 [1 per cell]  1 C 1.28
O: 0.1095 0.5000 0.5576 [1 per cell]  2 H 0.99
O: 0.1182 0.2989 0.8983 [2 per cell]  1 C 1.30
O: 0.2229 0.5000 0.3026 [1 per cell]  1 H 1.02
O: 0.2426 0.0000 0.3297 [1 per cell]  1 H 0.99
O: 0.2605 0.2025 0.6705 [2 per cell]  1 C 1.31
O: 0.2643 0.0000 0.0581 [1 per cell]  1 C 1.27
O: 0.2888 0.2024 0.1778 [2 per cell]  1 C 1.31
O: 0.3084 0.0000 0.8221 [1 per cell]  1 H 1.00
O: 0.3093 0.0000 0.5533 [1 per cell]  1 C 1.26
O: 0.3264 0.5000 0.7957 [1 per cell]  1 H 1.03
O: 0.4227 0.5000 0.0424 [1 per cell]  2 H 0.99
O: 0.4382 0.2981 0.4031 [2 per cell]  1 C 1.30
O: 0.4871 0.5000 0.2532 [1 per cell]  1 H 0.98
O: 0.4897 0.5000 0.5194 [1 per cell]  1 C 1.27
O: 0.5003 0.0000 0.2747 [1 per cell]  1 H 1.02
O: 0.5503 0.5000 0.8960 [1 per cell]  1 H 1.02
O: 0.5626 0.0000 0.9174 [1 per cell]  1 H 0.98
O: 0.5765 0.0000 0.6490 [1 per cell]  1 C 1.28
O: 0.6210 0.2002 0.7676 [2 per cell]  1 C 1.30
O: 0.6256 0.0000 0.1282 [1 per cell]  2 H 0.99
O: 0.7185 0.0000 0.3782 [1 per cell]  1 H 1.03
O: 0.7410 0.5000 0.3485 [1 per cell]  1 H 1.00
O: 0.7594 0.2975 0.9949 [2 per cell]  1 C 1.31
O: 0.7693 0.5000 0.6199 [1 per cell]  1 C 1.26
O: 0.7859 0.5000 0.1144 [1 per cell]  1 C 1.27
O: 0.7869 0.2971 0.5004 [2 per cell]  1 C 1.31
O: 0.8099 0.5000 0.8440 [1 per cell]  1 H 1.00
O: 0.8290 0.0000 0.8713 [1 per cell]  1 H 1.02
O: 0.9298 0.2008 0.2740 [2 per cell]  1 C 1.30
O: 0.9410 0.0000 0.6152 [1 per cell]  2 H 0.99
O: 0.9804 0.0000 0.1568 [1 per cell]  1 C 1.28
O: 0.9860 0.0000 0.4240 [1 per cell]  1 H 0.98
O: 0.9989 0.5000 0.4040 [1 per cell]  1 H 1.02

## Properties
- Electronic total energy: -8.527 eV per atom

=====

Compound: CrNiBr2
Source: Alexandria via LeMat-Bulk
Functional: meta-GGA SCAN
Structure: PBEsol geometry

a b c (Å): 3.5824 3.5824 12.0677
angles (deg): 90.00 90.00 90.00
With the nearest neighbours (Å) after each atom.
Space group I-4m2 (No. 119)
Unique sites:
Cr: 0.0000 0.0000 0.0000 [2 per cell]  4 Br 2.53
Ni: 0.0000 0.5000 0.2500 [2 per cell]  4 Br 2.53
Br: 0.0000 0.0000 0.5000 [2 per cell]  4 Cr 2.53
Br: 0.0000 0.5000 0.7500 [2 per cell]  4 Ni 2.53

## Properties
- Polymorph energy (0 for the lowest one): 0.341 eV per atom
- E_form (uncorrected): 0.052 eV per atom

=====

The following volume values (in Å³/atom) correspond, in order, to the records above: 17.79, 18.94, 18.21, 19.42, 36.21, 17.16, 19.63, 66.72, 17.82, 32.10, 24.91, 19.29, 9.97, 13.61, 13.63, 21.38, 18.20, 15.21, 14.47, 10.64, 21.32, 9.04, 19.36.